# 1
The following is a DFT calculation (PBE) of Li2CdPt after structural relaxation.

Formation energy (kJ/mol of atoms): -41.9
Raw total energy (eV/cell): -12.52
ρ (Mg/m³): 8.5
Space-group type: P2/m

Cell lengths 3.8501, 2.8538, 6.3088 Å; angles 64.88, 90.00, 90.00 degrees
Element x y z (fractional)
Pt: 0.5000 0.2500 0.2500
Li: 0.0000 0.5312 0.4654
Li: 0.0000 0.9688 0.0346
Cd: 0.5000 0.7500 0.7500



# 2
The following is a DFT calculation (PBE) of Li2Cd3Pt2 after structural relaxation.

Formation energy (kJ/mol of atoms): -33.1
Raw total energy (eV/cell): -42.11
ρ (Mg/m³): 9.5
Space-group type: Cmmm

Cell lengths 7.1719, 8.5739, 4.2199 Å; angles 90.00, 90.07, 90.00 degrees
Element x y z (fractional)
Pt: 0.0000 0.7829 0.5000
Pt: 0.5000 0.7171 0.5000
Pt: 0.5000 0.2829 0.5000
Pt: 0.0000 0.2171 0.5000
Li: 0.2500 0.2500 0.0000
Li: 0.2500 0.7500 0.0000
Li: 0.7500 0.7500 0.0000
Li: 0.7500 0.2500 0.0000
Cd: 0.6981 0.0000 0.4996
Cd: 0.0000 0.0000 0.0000
Cd: 0.8019 0.5000 0.5004
Cd: 0.3019 0.0000 0.5004
Cd: 0.1981 0.5000 0.4996
Cd: 0.5000 0.5000 0.0000



# 3
The following is a DFT calculation (PBE) of Li2CdPt after structural relaxation.

Formation energy (kJ/mol of atoms): -38.9
Raw total energy (eV/cell): -12.39
ρ (Mg/m³): 8.7
Space-group type: C2/m

Cell lengths 6.4485, 4.6574, 2.9094 Å; angles 90.15, 62.93, 123.38 degrees
Element x y z (fractional)
Cd: 0.5000 0.5000 0.0000
Li: 0.0000 0.0000 0.0000
Li: 0.5000 0.0000 0.5000
Pt: 0.0000 0.5000 0.5000



# 4
The following is a DFT calculation (PBE) of Li2CdPt2 after structural relaxation.

Formation energy (kJ/mol of atoms): -42.1
Raw total energy (eV/cell): -19.01
Energy above the most stable polymorph in this dataset (kcal/mol of atoms): 0.00
ρ (Mg/m³): 11.0
Space-group type: C2/m

Cell lengths 4.0457, 4.8226, 4.8314 Å; angles 80.55, 65.25, 65.20 degrees
Element x y z (fractional)
Cd: 0.0000 0.0000 0.0000
Li: 0.1927 0.2250 0.3896
Li: 0.8073 0.7750 0.6104
Pt: 0.5848 0.6125 0.2178
Pt: 0.4152 0.3875 0.7822



# 5
The following is a DFT calculation (PBE) of Li2CdPt after structural relaxation.

Formation energy (kJ/mol of atoms): -43.9
Raw total energy (eV/cell): -12.60
ρ (Mg/m³): 8.2
Space-group type: F-43m

Cell lengths 4.5126, 4.5126, 4.5126 Å; angles 60.00, 60.00, 60.00 degrees
Element x y z (fractional)
Cd: 0.5000 0.5000 0.5000
Li: 0.7500 0.7500 0.7500
Li: 0.0000 0.0000 0.0000
Pt: 0.2500 0.2500 0.2500



# 6
The following is a DFT calculation (PBE) of Li2CdPt2 after structural relaxation.

Formation energy (kJ/mol of atoms): 42.7
Raw total energy (eV/cell): -14.61
Energy above the most stable polymorph in this dataset (kcal/mol of atoms): 20.27
ρ (Mg/m³): 7.2
Space-group type: P4/mmm

Cell lengths 5.0509, 5.0509, 4.6877 Å; angles 90.00, 90.00, 90.00 degrees
Element x y z (fractional)
Cd: 0.0000 0.0000 0.0000
Li: 0.5000 0.5000 0.5000
Li: 0.0000 0.0000 0.5000
Pt: 0.5000 0.0000 0.0000
Pt: 0.0000 0.5000 0.0000



# 7
The following is a DFT calculation (PBE) of LiCd5Pt6 after structural relaxation.

Formation energy (kJ/mol of atoms): -35.7
Raw total energy (eV/cell): -47.17
ρ (Mg/m³): 14.1
Space-group type: Immm

Cell lengths 4.1608, 7.6717, 7.6717 Å; angles 109.19, 105.76, 105.76 degrees
Element x y z (fractional)
Cd: 0.5000 0.5000 0.5000
Cd: 0.5000 0.8416 0.1584
Cd: 0.0000 0.6698 0.3302
Cd: 0.5000 0.1584 0.8416
Cd: 0.0000 0.3302 0.6698
Pt: 0.2502 0.7498 0.7498
Pt: 0.7498 0.2502 0.2502
Pt: 0.7513 0.9157 0.5868
Pt: 0.7513 0.5868 0.9157
Pt: 0.2487 0.4132 0.0843
Pt: 0.2487 0.0843 0.4132
Li: 0.0000 0.0000 0.0000



# 8
The following is a DFT calculation (PBE) of Li2CdPt2 after structural relaxation.

Formation energy (kJ/mol of atoms): -39.4
Raw total energy (eV/cell): -37.73
Energy above the most stable polymorph in this dataset (kcal/mol of atoms): 0.64
ρ (Mg/m³): 11.1
Space-group type: P4/mbm

Cell lengths 7.3056, 7.3056, 2.8898 Å; angles 90.00, 90.00, 90.00 degrees
Element x y z (fractional)
Pt: 0.1363 0.3637 0.0000
Pt: 0.6363 0.1363 0.0000
Pt: 0.3637 0.8637 0.0000
Pt: 0.8637 0.6363 0.0000
Li: 0.6599 0.8401 0.5000
Li: 0.1599 0.6599 0.5000
Li: 0.3401 0.1599 0.5000
Li: 0.8401 0.3401 0.5000
Cd: 0.0000 0.0000 0.0000
Cd: 0.5000 0.5000 0.0000



# 9
The following is a DFT calculation (PBE) of LiCd2Pt2 after structural relaxation.

Formation energy (kJ/mol of atoms): -13.6
Raw total energy (eV/cell): -16.53
Energy above the most stable polymorph in this dataset (kcal/mol of atoms): 5.54
ρ (Mg/m³): 9.6
Space-group type: I4/mmm

Cell lengths 4.2380, 4.2380, 6.7020 Å; angles 71.57, 71.57, 90.00 degrees
Element x y z (fractional)
Pt: 0.6050 0.6050 0.7901
Pt: 0.3950 0.3950 0.2099
Li: 0.0000 0.0000 0.0000
Cd: 0.7500 0.2500 0.5000
Cd: 0.2500 0.7500 0.5000



# 10
The following is a DFT calculation (PBE) of Li8Cd2Pt after structural relaxation.

Formation energy (kJ/mol of atoms): -22.8
Raw total energy (eV/cell): -25.78
Energy above the most stable polymorph in this dataset (kcal/mol of atoms): 0.57
ρ (Mg/m³): 4.2
Space-group type: Immm

Cell lengths 4.6543, 7.4484, 7.0200 Å; angles 122.04, 109.36, 90.00 degrees
Element x y z (fractional)
Cd: 0.2301 0.7301 0.4602
Cd: 0.7699 0.2699 0.5398
Li: 0.6342 0.8306 0.2685
Li: 0.1257 0.1257 0.2515
Li: 0.0000 0.6889 0.0000
Li: 0.0000 0.3111 0.0000
Li: 0.3658 0.5621 0.7315
Li: 0.3658 0.1694 0.7315
Li: 0.8743 0.8743 0.7485
Li: 0.6342 0.4379 0.2685
Pt: 0.5000 0.0000 0.0000



# 11
The following is a DFT calculation (PBE) of LiCd2Pt2 after structural relaxation.

Formation energy (kJ/mol of atoms): -32.5
Raw total energy (eV/cell): -35.02
Energy above the most stable polymorph in this dataset (kcal/mol of atoms): 1.00
ρ (Mg/m³): 10.9
Space-group type: P4/mbm

Cell lengths 7.8911, 7.8911, 3.0408 Å; angles 90.00, 90.00, 90.00 degrees
Element x y z (fractional)
Pt: 0.3691 0.8691 0.0000
Pt: 0.1309 0.3691 0.0000
Pt: 0.8691 0.6309 0.0000
Pt: 0.6309 0.1309 0.0000
Cd: 0.8328 0.3328 0.5000
Cd: 0.6672 0.8328 0.5000
Cd: 0.3328 0.1672 0.5000
Cd: 0.1672 0.6672 0.5000
Li: 0.5000 0.5000 0.0000
Li: 0.0000 0.0000 0.0000



# 12
The following is a DFT calculation (PBE) of Li2CdPt after structural relaxation.

Formation energy (kJ/mol of atoms): -39.1
Raw total energy (eV/cell): -12.40
ρ (Mg/m³): 8.5
Space-group type: Pm

Cell lengths 4.2273, 2.8264, 5.4360 Å; angles 74.55, 90.00, 90.00 degrees
Element x y z (fractional)
Pt: 0.0000 0.4544 0.4684
Li: 0.0000 0.1789 0.0059
Li: 0.5000 0.0594 0.2669
Cd: 0.5000 0.8073 0.7588